Entry 1:
## KNa2BeTl (PBE-GGA)

Data for an optimized crystal structure of KNa2BeTl.

Values from the calculation:
**Space group**: P4/mmm (123)
**Calculated total energy**: -8.44 eV/f.u.
**N(E_F)**: 0.28 states/eV/atom
**Energy of formation**: 27 kJ/mol of atoms

a b c (Å): 6.0352 6.0352 4.7147
angles (deg): 90.00 90.00 90.00
Fractional positions:
K: 0.0000 0.0000 0.0000
Na: 0.0000 0.5000 0.5000
Na: 0.5000 0.0000 0.5000
Be: 0.5000 0.5000 0.0000
Tl: 0.5000 0.5000 0.5000


Entry 2:
## TbPr2Sm5 (PBE-GGA)

Data for an optimized crystal structure of TbPr2Sm5.

Values from the calculation:
**Space group**: Pbam (55)
**E above lowest polymorph**: 0.0 meV/atom
**Calculated total energy**: -37.67 eV/f.u.
**N(E_F)**: 1.48 states/eV/atom
**Energy of formation**: 1 kJ/mol of atoms

a b c (Å): 7.2848 14.5736 5.1401
angles (deg): 90.00 90.00 90.00
Fractional positions:
Tb: 0.0000 0.0000 0.0000
Tb: 0.5000 0.5000 0.0000
Pr: 0.2491 0.1246 0.5000
Pr: 0.2509 0.6246 0.5000
Pr: 0.7491 0.3754 0.5000
Pr: 0.7509 0.8754 0.5000
Sm: 0.0000 0.5000 0.0000
Sm: 0.0009 0.7505 0.0000
Sm: 0.2494 0.3754 0.5000
Sm: 0.2506 0.8754 0.5000
Sm: 0.4991 0.2505 0.0000
Sm: 0.5000 0.0000 0.0000
Sm: 0.5009 0.7495 0.0000
Sm: 0.7494 0.1246 0.5000
Sm: 0.7506 0.6246 0.5000
Sm: 0.9991 0.2495 0.0000


Which value of calculated total energy does entry 1 give?
-8.44 eV/f.u.